# 1
DFT (PBE-GGA) results for an optimized crystal structure of Mg2Ga2Ru.

Calculated values
ΔE_f: -0.081 eV per atom
symmetry: P4/mbm (127)
energy relative to the lowest polymorph listed for this composition: 2.34 kcal/mol of atoms
uncorrected energy: -3.785 eV per atom

abc: 6.789 6.789 3.750
angles: 90.00 90.00 90.00
Fractional coordinates of all 10 atoms:
Mg (0.172, 0.328, 0.000)
Mg (0.328, 0.828, 0.000)
Mg (0.672, 0.172, 0.000)
Mg (0.828, 0.672, 0.000)
Ga (0.137, 0.637, 0.500)
Ga (0.363, 0.137, 0.500)
Ga (0.637, 0.863, 0.500)
Ga (0.863, 0.363, 0.500)
Ru (0.000, 0.000, 0.500)
Ru (0.500, 0.500, 0.500)

---

# 2
DFT (PBE-GGA) results for an optimized crystal structure of Sc5H2O.

Calculated values
symmetry: Cmcm (63)
uncorrected energy: -6.216 eV per atom

abc: 5.464 5.464 10.881
angles: 90.00 90.00 130.46
Fractional coordinates of all 16 atoms:
Sc (0.013, 0.987, 0.624)
Sc (0.013, 0.987, 0.876)
Sc (0.298, 0.702, 0.087)
Sc (0.298, 0.702, 0.413)
Sc (0.335, 0.665, 0.750)
Sc (0.665, 0.335, 0.250)
Sc (0.702, 0.298, 0.587)
Sc (0.702, 0.298, 0.913)
Sc (0.987, 0.013, 0.124)
Sc (0.987, 0.013, 0.376)
H (0.218, 0.782, 0.593)
H (0.218, 0.782, 0.907)
H (0.782, 0.218, 0.093)
H (0.782, 0.218, 0.407)
O (0.159, 0.841, 0.250)
O (0.841, 0.159, 0.750)